VASP calculation (PBE) on a relaxed structure of DyScTlHg.

a = 5.1842 Å, b = 5.1842 Å, c = 5.1842 Å
α = 60.00°, β = 60.00°, γ = 60.00°
Closest atoms and distances in Å follow each position.
Element x y z (fractional)
Dy 0.0000 0.0000 0.0000  4 Hg 3.17, 4 Tl 3.17
Sc 0.5000 0.5000 0.5000  4 Hg 3.17, 4 Tl 3.17
Tl 0.2500 0.2500 0.2500  4 Dy 3.17, 4 Sc 3.17
Hg 0.7500 0.7500 0.7500  4 Dy 3.17, 4 Sc 3.17

Properties
The formation enthalpy at 0 K comes out at -0.37 eV per atom.